The following is a PBE calculation of crystalline Cs2BePH at its relaxed geometry, from Alexandria via LeMat-Bulk.

Output
- total magnetization (μB per formula unit) = 0.00

Structure (CIF):
```
data_Cs2BePH
_symmetry_space_group_name_H-M 'P 4/m m m'
_symmetry_Int_Tables_number 123
_symmetry_space_group_name_Hall '-P 4 2'
_cell_length_a 6.339
_cell_length_b 6.339
_cell_length_c 3.561
_cell_angle_alpha 90.00
_cell_angle_beta 90.00
_cell_angle_gamma 90.00
loop_
_atom_site_label
_atom_site_fract_x
_atom_site_fract_y
_atom_site_fract_z
Cs1 0.000 0.500 0.000
Be1 0.000 0.000 0.500
P1 0.500 0.500 0.500
H1 0.000 0.000 0.000
```

The following is a PBE calculation of crystalline CsBe2PH2 at its relaxed geometry, from Alexandria via LeMat-Bulk.

Output
- total magnetization (μB per formula unit) = 0.00

Structure (CIF):
```
data_CsBe2PH2
_symmetry_space_group_name_H-M 'P 1 21/m 1'
_symmetry_Int_Tables_number 11
_cell_length_a 7.413
_cell_length_b 4.382
_cell_length_c 7.564
_cell_angle_alpha 90.00
_cell_angle_beta 119.31
_cell_angle_gamma 90.00
loop_
_symmetry_equiv_pos_as_xyz
'x,y,z'
'-x,-y,-z'
'-x,y+1/2,-z'
'x,-y+1/2,z'
loop_
_atom_site_label
_atom_site_fract_x
_atom_site_fract_y
_atom_site_fract_z
Cs1 0.176 0.250 0.351
Be1 0.346 0.000 0.999
P1 0.388 0.750 0.774
H1 0.182 0.250 0.912
H2 0.267 0.750 0.085
```

The following is a PBE calculation of crystalline CsPmBe2H8 at its relaxed geometry, from Alexandria via LeMat-Bulk.

Output
- total magnetization (μB per formula unit) = 0.00

Structure (CIF):
```
data_CsPmBe2H8
_symmetry_space_group_name_H-M 'R -3 m'
_symmetry_Int_Tables_number 166
_symmetry_space_group_name_Hall '-R 3 2"'
_cell_length_a 4.4009
_cell_length_b 4.4009
_cell_length_c 27.0811
_cell_angle_alpha 90.00
_cell_angle_beta 90.00
_cell_angle_gamma 120.00
loop_
_atom_site_label
_atom_site_fract_x
_atom_site_fract_y
_atom_site_fract_z
Cs1 0.0000 0.0000 0.0000
Pm1 0.0000 0.0000 0.5000
Be1 0.0000 0.0000 0.2302
H1 0.0000 0.0000 0.2820
H2 0.0081 0.5041 0.5426
```

The following is a PBE calculation of crystalline CsRbBeH4 at its relaxed geometry, from Alexandria via LeMat-Bulk.

Output
- total magnetization (μB per formula unit) = 0.00

Structure (CIF):
```
data_CsRbBeH4
_symmetry_space_group_name_H-M 'C m c m'
_symmetry_Int_Tables_number 63
_symmetry_space_group_name_Hall '-C 2c 2'
_cell_length_a 5.453
_cell_length_b 10.321
_cell_length_c 9.729
_cell_angle_alpha 90.00
_cell_angle_beta 90.00
_cell_angle_gamma 90.00
loop_
_atom_site_label
_atom_site_fract_x
_atom_site_fract_y
_atom_site_fract_z
Cs1 0.000 0.000 0.000
Rb1 0.000 0.300 0.250
Be1 0.000 0.364 0.750
H1 0.000 0.282 0.626
H2 0.216 0.446 0.750
```

The following is a PBE calculation of crystalline CsRbBe2H at its relaxed geometry, from Alexandria via LeMat-Bulk.

Output
- total magnetization (μB per formula unit) = 0.00

Structure (CIF):
```
data_CsRbBe2H
_symmetry_space_group_name_H-M 'P 4/m m m'
_symmetry_Int_Tables_number 123
_symmetry_space_group_name_Hall '-P 4 2'
_cell_length_a 6.248
_cell_length_b 6.248
_cell_length_c 12.548
_cell_angle_alpha 90.00
_cell_angle_beta 90.00
_cell_angle_gamma 90.00
loop_
_atom_site_label
_atom_site_fract_x
_atom_site_fract_y
_atom_site_fract_z
Cs1 0.000 0.000 0.000
Rb1 0.000 0.000 0.500
Be1 0.000 0.500 0.000
H1 0.500 0.500 0.500
```

The following is a PBE calculation of crystalline Cs4Rb3BeH8 at its relaxed geometry, from Alexandria via LeMat-Bulk.

Output
- total magnetization (μB per formula unit) = 0.00

Structure (CIF):
```
data_Cs4Rb3BeH8
_symmetry_space_group_name_H-M 'C 1 2/m 1'
_symmetry_Int_Tables_number 12
_cell_length_a 15.157
_cell_length_b 8.349
_cell_length_c 8.362
_cell_angle_alpha 90.00
_cell_angle_beta 123.02
_cell_angle_gamma 90.00
loop_
_symmetry_equiv_pos_as_xyz
'x,y,z'
'-x,-y,-z'
'-x,y,-z'
'x,-y,z'
'x+1/2,y+1/2,z'
'-x+1/2,-y+1/2,-z'
'-x+1/2,y+1/2,-z'
'x+1/2,-y+1/2,z'
loop_
_atom_site_label
_atom_site_fract_x
_atom_site_fract_y
_atom_site_fract_z
Cs1 0.000 0.000 0.000
Cs2 0.000 0.500 0.000
Cs3 0.250 0.250 0.500
Rb1 0.000 0.000 0.500
Rb2 0.250 0.250 0.000
Be1 0.000 0.500 0.500
H1 0.002 0.361 0.364
H2 0.230 0.000 0.214
H3 0.243 0.000 0.758
```

no.,energy (eV per cell)
1,-11.42
2,-45.38
3,-129.20
4,-83.40
5,-4.06
6,-72.96